(1)
The following is a DFT calculation (GGA-PBEsol) of crystalline Mn2SnN at its relaxed geometry.

Its total energy is -7.061 eV per atom. The size of the total moment is 28.05 μB/cell. The calculation puts the uncorrected formation energy at 1.016 eV/atom. The calculation puts the density of states at the Fermi level at 3.146 states/eV/f.u.

The structure belongs to space group Fm-3m (No. 225); the cell edges are 6.054, 6.054 and 6.054 Å and the angles 90.00°, 90.00° and 90.00°. The distinct sites, in fractional coordinates, are Mn at (0.250, 0.250, 0.250), Sn at (0.000, 0.000, 0.000) and N at (0.000, 0.000, 0.500).

(2)
The following is a DFT calculation (GGA-PBEsol) of crystalline MnSnN3 at its relaxed geometry.

Its total energy is -7.261 eV per atom. The size of the total moment is 0.56 μB/cell. The calculation puts the uncorrected formation energy at 0.659 eV/atom. The calculation puts the density of states at the Fermi level at 4.467 states/eV/f.u.

The structure belongs to space group Pm-3m (No. 221); the cell edges are 3.735, 3.735 and 3.735 Å and the angles 90.00°, 90.00° and 90.00°. The distinct sites, in fractional coordinates, are Mn at (0.000, 0.000, 0.000), Sn at (0.500, 0.500, 0.500) and N at (0.000, 0.000, 0.500).

(3)
The following is a DFT calculation (GGA-PBEsol) of crystalline Sr3MnN3 at its relaxed geometry.

Its total energy is -6.689 eV per atom. The size of the total moment is 2.24 μB/cell. The calculation puts the uncorrected formation energy at -0.851 eV/atom. The calculation puts the density of states at the Fermi level at 3.579 states/eV/f.u.

The structure belongs to space group P6_3/m (No. 176); the cell edges are 7.6065, 7.6065 and 5.1890 Å and the angles 90.00°, 90.00° and 120.00°. The distinct sites, in fractional coordinates, are Sr at (0.0869, 0.7264, 0.2500), Mn at (0.3333, 0.6667, 0.7500) and N at (0.1188, 0.6872, 0.7500).

(4)
The following is a DFT calculation (GGA-PBEsol) of crystalline Sr7MnN6 at its relaxed geometry.

Its total energy is -5.990 eV per atom. The size of the total moment is 6.32 μB/cell. The calculation puts the uncorrected formation energy at -0.718 eV/atom. The calculation puts the density of states at the Fermi level at 3.479 states/eV/f.u.

The structure belongs to space group Pbcn (No. 60); the cell edges are 11.611, 6.599 and 13.491 Å and the angles 90.00°, 90.00° and 90.00°. The distinct sites, in fractional coordinates, are Sr at (0.000, 0.066, 0.250), Sr at (0.037, 0.237, 0.522), Sr at (0.208, 0.387, 0.130), Sr at (0.222, 0.356, 0.878), Mn at (0.000, 0.428, 0.750), N at (0.041, 0.417, 0.353), N at (0.117, 0.271, 0.712) and N at (0.166, 0.089, 0.003).